{
  "formula": "VAg3HgO4",
  "functional": "GGA+U",
  "state": "relaxed",
  "lattice_angstrom": [[4.755, 0.000, 0.000], [2.332, 5.484, 0.000], [2.353, 0.030, 5.601]],
  "species": ["V", "Ag", "Ag", "Ag", "Hg", "O", "O", "O", "O"],
  "frac_coords": [[0.000, 0.000, 0.000], [0.187, 0.251, 0.421], [0.379, 0.403, 0.751], [0.848, 0.736, 0.604], [0.504, 0.589, 0.291], [0.040, 0.254, 0.081], [0.377, 0.751, 0.927], [0.708, 0.918, 0.245], [0.874, 0.077, 0.754]],
  "total_energy_ev_per_atom": -4.854
}